1.
The following is a DFT calculation (GGA-PBE) of a relaxed KCuW2 crystal.

The value obtained for the energy of formation from the pure elements is 43.97 kcal/mol of atoms. Its density is 7.34 g/cm3. For the spin magnetization, the calculation gives 0.000 μB per atom.

The structure belongs to space group I-42d (No. 122); the cell edges are 4.7774, 4.7774 and 18.6481 Å and the angles 90.00°, 90.00° and 90.00°. The asymmetric unit holds K at (0.0000, 0.0000, 0.0000), Cu at (0.0000, 0.0000, 0.5000) and W at (0.0198, 0.2500, 0.6250).


2.
The following is a DFT calculation (GGA-PBE) of a relaxed Cs2MgGaBr6 crystal.

Its density is 4.19 g/cm3. For the spin magnetization, the calculation gives 0.000 μB per atom. The value obtained for the final energy is -2.968 eV per atom.

The structure belongs to space group Fm-3m (No. 225); the cell edges are 11.0018, 11.0018 and 11.0018 Å and the angles 90.00°, 90.00° and 90.00°. The asymmetric unit holds Cs at (0.2500, 0.2500, 0.2500), Mg at (0.0000, 0.0000, 0.0000), Ga at (0.0000, 0.0000, 0.5000) and Br at (0.0000, 0.0000, 0.2479).


3.
The following is a DFT calculation (GGA-PBE) of a relaxed TlHgGeAu2 crystal.

The value obtained for the energy of formation from the pure elements is 0.12 kcal/mol of atoms. Its density is 11.51 g/cm3. For the spin magnetization, the calculation gives 0.000 μB per atom.

The structure belongs to space group C2/m (No. 12); the cell edges are 14.6500, 4.5677 and 10.3111 Å and the angles 90.00°, 133.19° and 90.00°. The asymmetric unit holds Tl at (0.0028, 0.0000, 0.3458), Hg at (0.2281, 0.5000, 0.6260), Ge at (0.1362, 0.5000, 0.0478), Au at (0.0935, 0.5000, 0.2588) and Au at (0.2235, 0.0000, 0.0532).


4.
The following is a DFT calculation (GGA-PBE) of a relaxed Li4CaPt crystal.

The value obtained for the energy of formation from the pure elements is -7.28 kcal/mol of atoms. Its density is 3.74 g/cm3. For the spin magnetization, the calculation gives 0.000 μB per atom.

The structure belongs to space group Pmma (No. 51); the cell edges are 6.2136, 4.7861 and 7.8540 Å and the angles 90.00°, 90.00° and 90.00°. The asymmetric unit holds Li at (0.0000, 0.0000, 0.0000), Li at (0.0534, 0.5000, 0.3107), Li at (0.2500, 0.5000, 0.0057), Ca at (0.2500, 0.0000, 0.6229) and Pt at (0.2500, 0.0000, 0.2580).


5.
The following is a DFT calculation (GGA-PBE) of a relaxed MgSc2CuH crystal.

Its density is 3.70 g/cm3. For the spin magnetization, the calculation gives 0.196 μB per atom. The value obtained for the final energy is -4.476 eV per atom.

The structure belongs to space group P4/mmm (No. 123); the cell edges are 4.4067, 4.4067 and 4.1363 Å and the angles 90.00°, 90.00° and 90.00°. The asymmetric unit holds Mg at (0.0000, 0.0000, 0.0000), Sc at (0.0000, 0.5000, 0.5000), Cu at (0.5000, 0.5000, 0.0000) and H at (0.0000, 0.0000, 0.5000).


6.
The following is a DFT calculation (GGA-PBE) of a relaxed Ba4Bi8Pd3 crystal.

The value obtained for the energy of formation from the pure elements is -12.39 kcal/mol of atoms. Its density is 8.14 g/cm3. For the spin magnetization, the calculation gives 0.000 μB per atom.

The structure belongs to space group P-4m2 (No. 115); the cell edges are 4.7972, 4.7972 and 22.5177 Å and the angles 90.00°, 90.00° and 90.00°. The asymmetric unit holds Ba at (0.0000, 0.5000, 0.1217), Ba at (0.0000, 0.5000, 0.6249), Bi at (0.0000, 0.0000, 0.2473), Bi at (0.0000, 0.5000, 0.4384), Bi at (0.0000, 0.5000, 0.9470), Bi at (0.5000, 0.5000, 0.2510), Pd at (0.0000, 0.0000, 0.0000), Pd at (0.0000, 0.0000, 0.5000) and Pd at (0.5000, 0.5000, 0.5000).


7.
The following is a DFT calculation (GGA-PBE) of a relaxed Nd6Al2NO crystal.

Its density is 6.44 g/cm3. For the spin magnetization, the calculation gives 0.000 μB per atom. The value obtained for the final energy is -5.988 eV per atom.

The structure belongs to space group Fm-3m (No. 225); the cell edges are 9.9283, 9.9283 and 9.9283 Å and the angles 90.00°, 90.00° and 90.00°. The asymmetric unit holds Nd at (0.0000, 0.0000, 0.2481), Al at (0.2500, 0.2500, 0.2500), N at (0.0000, 0.0000, 0.0000) and O at (0.0000, 0.0000, 0.5000).


8.
The following is a DFT calculation (GGA-PBE) of a relaxed Tl2BiCl crystal.

Its density is 9.23 g/cm3. For the spin magnetization, the calculation gives 0.000 μB per atom. The value obtained for the final energy is -2.895 eV per atom.

The structure belongs to space group Fm-3m (No. 225); the cell edges are 7.7745, 7.7745 and 7.7745 Å and the angles 90.00°, 90.00° and 90.00°. The asymmetric unit holds Tl at (0.2500, 0.2500, 0.2500), Bi at (0.0000, 0.0000, 0.0000) and Cl at (0.0000, 0.0000, 0.5000).


9.
The following is a DFT calculation (GGA-PBE) of a relaxed Ta2Ti2Mo crystal.

The value obtained for the energy of formation from the pure elements is -1.29 kcal/mol of atoms. Its density is 10.69 g/cm3. For the spin magnetization, the calculation gives 0.000 μB per atom.

The structure belongs to space group C2/m (No. 12); the cell edges are 10.3110, 3.2217 and 7.2831 Å and the angles 90.00°, 134.70° and 90.00°. The asymmetric unit holds Ta at (0.0901, 0.0000, 0.3796), Ti at (0.2158, 0.5000, 0.8051) and Mo at (0.0000, 0.5000, 0.0000).


10.
The following is a DFT calculation (GGA-PBE) of a relaxed Sr2LiCd6Sn crystal.

The value obtained for the energy of formation from the pure elements is -4.42 kcal/mol of atoms. Its density is 5.77 g/cm3. For the spin magnetization, the calculation gives 0.000 μB per atom.

The structure belongs to space group P-1 (No. 2); the cell edges are 7.2249, 7.3271 and 7.3468 Å and the angles 60.66°, 61.17° and 60.96°. The asymmetric unit holds Sr at (0.1909, 0.1975, 0.4190), Li at (0.0000, 0.0000, 0.0000), Cd at (0.1471, 0.3252, 0.8904), Cd at (0.3275, 0.6430, 0.8828), Cd at (0.3602, 0.8522, 0.1148) and Sn at (0.5000, 0.5000, 0.5000).


11.
The following is a DFT calculation (GGA-PBE) of a relaxed CoNi2SbH crystal.

Its density is 9.33 g/cm3. For the spin magnetization, the calculation gives 0.000 μB per atom. The value obtained for the final energy is -5.321 eV per atom.

The structure belongs to space group P4/mmm (No. 123); the cell edges are 3.7505, 3.7505 and 3.7837 Å and the angles 90.00°, 90.00° and 90.00°. The asymmetric unit holds Co at (0.0000, 0.0000, 0.0000), Ni at (0.0000, 0.5000, 0.5000), Sb at (0.5000, 0.5000, 0.0000) and H at (0.0000, 0.0000, 0.5000).


12.
The following is a DFT calculation (GGA-PBE) of a relaxed BaRhIN2 crystal.

Its density is 4.15 g/cm3. For the spin magnetization, the calculation gives 0.858 μB per atom. The value obtained for the final energy is -3.659 eV per atom.

The structure belongs to space group P4/mmm (No. 123); the cell edges are 4.6902, 4.6902 and 7.1845 Å and the angles 90.00°, 90.00° and 90.00°. The asymmetric unit holds Ba at (0.0000, 0.0000, 0.0000), Rh at (0.5000, 0.5000, 0.5000), I at (0.0000, 0.0000, 0.5000) and N at (0.0000, 0.5000, 0.0000).


13.
The following is a DFT calculation (GGA-PBE) of a relaxed Y2ZrBr crystal.

Its density is 5.35 g/cm3. For the spin magnetization, the calculation gives 0.000 μB per atom. The value obtained for the final energy is -6.019 eV per atom.

The structure belongs to space group Cm (No. 8); the cell edges are 11.7005, 3.4237 and 5.6808 Å and the angles 90.00°, 107.83° and 90.00°. The asymmetric unit holds Y at (0.0000, 0.0000, 0.0000), Y at (0.2052, 0.0000, 0.6451), Zr at (0.2521, 0.5000, 0.1615) and Br at (0.4374, 0.0000, 0.5098).